A geometry-optimized CrCoAu structure, computed with PBEsol.

Output
- ΔE_f: 0.27 eV/atom

Structure (POSCAR):
```
CrCoAu
1.0
-2.782 0.758 -0.809
0.694 -0.513 -2.867
-0.209 -4.256 2.274
Cr Co Au
1 1 1
direct
0.689 0.689 0.379
0.311 0.311 0.623
0.999 0.999 0.999
```

---

A geometry-optimized CrCoAu2 structure, computed with PBEsol.

Output
- ΔE_f: 0.30 eV/atom

Structure (POSCAR):
```
CrCoAu2
1.0
-2.123 1.564 1.002
1.342 -0.924 4.286
3.274 3.023 -1.753
Co Cr Au
1 1 2
direct
0.520 0.503 0.040
0.229 0.744 0.458
0.763 0.275 0.525
0.989 0.977 0.977
```

---

A geometry-optimized CrCo3Au structure, computed with PBEsol.

Output
- ΔE_f: 1.86 eV/atom

Structure (POSCAR):
```
CrCo3Au
1.0
-3.433 -1.314 -2.703
-0.092 -4.055 2.088
-3.004 1.626 3.024
Cr Co Au
1 3 1
direct
0.500 0.500 0.500
0.000 0.500 0.000
0.500 0.000 0.000
0.000 0.000 0.500
0.000 0.000 0.000
```

---

A geometry-optimized CsLa2CoAu structure, computed with PBEsol.

Output
- ΔE_f: 0.04 eV/atom

Structure (POSCAR):
```
CsLa2CoAu
1.0
5.159 0.000 0.000
0.000 5.159 0.000
0.000 0.000 5.250
La Au Cs Co
2 1 1 1
direct
0.000 0.500 0.000
0.500 0.000 0.000
0.000 0.000 0.500
0.500 0.500 0.500
0.000 0.000 0.000
```

---

A geometry-optimized Cs2CoPbAu structure, computed with PBEsol.

Output
- ΔE_f: 0.71 eV/atom

Structure (POSCAR):
```
Cs2CoPbAu
1.0
-0.073 -0.329 4.708
3.656 -5.160 -0.305
5.168 3.642 0.335
Cs Co Pb Au
2 1 1 1
direct
0.000 0.000 0.500
0.000 0.500 0.000
0.000 0.000 0.000
0.500 0.500 0.500
0.500 0.000 0.000
```

---

A geometry-optimized Co2CuHAu structure, computed with PBEsol.

Output
- Total energy: -3.4507 eV per atom

Structure (POSCAR):
```
Co2CuHAu
1.0
-2.310 2.051 3.500
2.689 -2.242 3.088
3.061 3.572 -0.073
Co Au Cu H
2 1 1 1
direct
0.000 0.500 0.000
0.500 0.000 0.000
0.000 0.000 0.000
0.000 0.000 0.500
0.500 0.500 0.500
```

---

A geometry-optimized CoSnAuF2 structure, computed with PBEsol.

Output
- Total energy: -3.9160 eV per atom

Structure (POSCAR):
```
CoSnAuF2
1.0
4.081 0.000 0.000
0.000 4.081 0.000
0.000 0.000 5.748
F Sn Co Au
2 1 1 1
direct
0.000 0.500 0.000
0.500 0.000 0.000
0.000 0.000 0.500
0.500 0.500 0.500
0.000 0.000 0.000
```

---

A geometry-optimized FeCoAu2 structure, computed with PBEsol.

Output
- ΔE_f: 0.17 eV/atom

Structure (POSCAR):
```
FeCoAu2
1.0
-0.555 1.917 -3.257
0.660 -3.192 -1.991
-3.794 -0.219 2.758
Au Co Fe
2 1 1
direct
0.000 0.000 0.000
0.750 0.250 0.500
0.500 0.500 0.000
0.250 0.750 0.500
```